# 1
The following is a DFT calculation (PBE) of crystalline SbIrAu2 at its relaxed geometry.

Unit cell a=4.8752 b=4.8752 c=4.7982 alpha=103.70 beta=103.70 gamma=43.25
Element x y z (fractional)
Sb 0.0000 0.0000 0.0000
Ir 0.7244 0.7244 0.1586
Au 0.2213 0.2213 0.6685
Au 0.4708 0.4708 0.4563

Results
volume = 18.89 A^3/atom
total magnetic moment = 0.0 μB/f.u.
formation energy from raw total energies = 19 kJ/mol of atoms

---

# 2
The following is a DFT calculation (PBE) of crystalline SbIrAu at its relaxed geometry.

Unit cell a=5.3017 b=5.3017 c=5.3017 alpha=144.82 beta=138.76 gamma=55.30
Element x y z (fractional)
Sb 0.0000 0.0000 0.0000
Ir 0.3706 0.3706 0.0000
Au 0.6926 0.6926 0.0000

Results
excess energy over the best structure of this formula in the dataset = 183 meV per atom
volume = 18.73 A^3/atom
total magnetic moment = 0.0 μB/f.u.
formation energy from raw total energies = 19 kJ/mol of atoms

---

# 3
The following is a DFT calculation (PBE) of crystalline SbIrAu at its relaxed geometry.

Unit cell a=8.1174 b=7.8469 c=2.9824 alpha=84.39 beta=74.16 gamma=21.45
Element x y z (fractional)
Sb 0.0000 0.0000 0.0000
Ir 0.6423 0.6423 0.3577
Au 0.2971 0.2971 0.7029

Results
excess energy over the best structure of this formula in the dataset = 392 meV per atom
volume = 19.96 A^3/atom
total magnetic moment = 0.0 μB/f.u.
formation energy from raw total energies = 40 kJ/mol of atoms

---

# 4
The following is a DFT calculation (PBE) of crystalline SbIrAu at its relaxed geometry.

Unit cell a=4.2394 b=5.5735 c=5.5735 alpha=112.13 beta=90.00 gamma=90.00
Element x y z (fractional)
Sb 0.2500 0.1650 0.8350
Sb 0.7500 0.8350 0.1650
Ir 0.2500 0.6569 0.8765
Ir 0.7500 0.8765 0.6569
Au 0.2500 0.5374 0.3343
Au 0.7500 0.3343 0.5374

Results
excess energy over the best structure of this formula in the dataset = 0 meV per atom
volume = 20.33 A^3/atom
total magnetic moment = 0.0 μB/f.u.
formation energy from raw total energies = 2 kJ/mol of atoms

---

# 5
The following is a DFT calculation (PBE) of crystalline SbIrAu2 at its relaxed geometry.

Unit cell a=2.9431 b=2.9431 c=10.2979 alpha=90.00 beta=90.00 gamma=118.59
Element x y z (fractional)
Sb 0.0000 0.0000 0.0000
Ir 0.5000 0.5000 0.2157
Au 0.0000 0.0000 0.4478
Au 0.5000 0.5000 0.6911

Results
volume = 19.58 A^3/atom
total magnetic moment = 0.0 μB/f.u.
formation energy from raw total energies = 32 kJ/mol of atoms

---

# 6
The following is a DFT calculation (PBE) of crystalline SbIrAu2 at its relaxed geometry.

Unit cell a=3.1840 b=4.5848 c=5.0849 alpha=90.00 beta=90.00 gamma=90.00
Element x y z (fractional)
Sb 0.0000 0.0000 0.0000
Ir 0.5000 0.5000 0.0000
Au 0.0000 0.5000 0.5000
Au 0.5000 0.0000 0.5000

Results
volume = 18.56 A^3/atom
total magnetic moment = 0.0 μB/f.u.
formation energy from raw total energies = 27 kJ/mol of atoms

---

# 7
The following is a DFT calculation (PBE) of crystalline SbIrAu2 at its relaxed geometry.

Unit cell a=8.7097 b=8.7097 c=8.7097 alpha=21.42 beta=21.42 gamma=21.42
Element x y z (fractional)
Sb 0.0000 0.0000 0.0000
Ir 0.2599 0.2599 0.2599
Au 0.5103 0.5103 0.5103
Au 0.7593 0.7593 0.7593

Results
volume = 19.31 A^3/atom
total magnetic moment = 0.0 μB/f.u.
formation energy from raw total energies = 23 kJ/mol of atoms

---

# 8
The following is a DFT calculation (PBE) of crystalline SbIrAu2 at its relaxed geometry.

Unit cell a=2.9871 b=2.9871 c=10.0161 alpha=90.00 beta=90.00 gamma=120.73
Element x y z (fractional)
Sb 0.0000 0.0000 0.0000
Ir 0.0000 0.0000 0.5000
Au 0.5000 0.5000 0.2677
Au 0.5000 0.5000 0.7323

Results
volume = 19.21 A^3/atom
total magnetic moment = 0.1 μB/f.u.
formation energy from raw total energies = 45 kJ/mol of atoms

---

# 9
The following is a DFT calculation (PBE) of crystalline SbIrAu at its relaxed geometry.

Unit cell a=4.4620 b=4.4620 c=4.4620 alpha=60.00 beta=60.00 gamma=60.00
Element x y z (fractional)
Sb 0.0000 0.0000 0.0000
Ir 0.2500 0.2500 0.2500
Au 0.5000 0.5000 0.5000

Results
excess energy over the best structure of this formula in the dataset = 59 meV per atom
volume = 20.94 A^3/atom
total magnetic moment = 0.0 μB/f.u.
formation energy from raw total energies = 7 kJ/mol of atoms

---

# 10
The following is a DFT calculation (PBE) of crystalline SbIrAu2 at its relaxed geometry.

Unit cell a=5.5078 b=5.5078 c=5.5078 alpha=138.13 beta=138.13 gamma=60.70
Element x y z (fractional)
Sb 0.0000 0.0000 0.0000
Ir 0.5000 0.5000 0.0000
Au 0.2500 0.7500 0.5000
Au 0.7500 0.2500 0.5000

Results
volume = 18.41 A^3/atom
total magnetic moment = 0.0 μB/f.u.
formation energy from raw total energies = 21 kJ/mol of atoms

---

# 11
The following is a DFT calculation (PBE) of crystalline SbIrAu2 at its relaxed geometry.

Unit cell a=4.7035 b=4.7035 c=4.7035 alpha=60.00 beta=60.00 gamma=60.00
Element x y z (fractional)
Sb 0.0000 0.0000 0.0000
Ir 0.2500 0.2500 0.2500
Au 0.5000 0.5000 0.5000
Au 0.7500 0.7500 0.7500

Results
volume = 18.39 A^3/atom
total magnetic moment = 0.0 μB/f.u.
formation energy from raw total energies = 26 kJ/mol of atoms

---

# 12
The following is a DFT calculation (PBE) of crystalline SbIr4Au at its relaxed geometry.

Unit cell a=5.2954 b=5.2954 c=5.2954 alpha=60.00 beta=60.00 gamma=60.00
Element x y z (fractional)
Sb 0.0000 0.0000 0.0000
Ir 0.3751 0.3751 0.3751
Ir 0.3751 0.3751 0.8748
Ir 0.3751 0.8748 0.3751
Ir 0.8748 0.3751 0.3751
Au 0.7500 0.7500 0.7500

Results
volume = 17.50 A^3/atom
total magnetic moment = 0.0 μB/f.u.
formation energy from raw total energies = 48 kJ/mol of atoms

---

# 13
The following is a DFT calculation (PBE) of crystalline SbIrAu2 at its relaxed geometry.

Unit cell a=9.4001 b=9.4001 c=9.4001 alpha=18.92 beta=18.92 gamma=18.92
Element x y z (fractional)
Sb 0.0000 0.0000 0.0000
Ir 0.5000 0.5000 0.5000
Au 0.2452 0.2452 0.2452
Au 0.7548 0.7548 0.7548

Results
volume = 19.08 A^3/atom
total magnetic moment = 0.5 μB/f.u.
formation energy from raw total energies = 47 kJ/mol of atoms

---

# 14
The following is a DFT calculation (PBE) of crystalline SbIrAu at its relaxed geometry.

Unit cell a=6.0787 b=6.0787 c=6.0787 alpha=149.41 beta=149.41 gamma=43.80
Element x y z (fractional)
Sb 0.0000 0.0000 0.0000
Ir 0.6348 0.6348 0.0000
Au 0.2959 0.2959 0.0000

Results
excess energy over the best structure of this formula in the dataset = 202 meV per atom
volume = 19.33 A^3/atom
total magnetic moment = 0.0 μB/f.u.
formation energy from raw total energies = 21 kJ/mol of atoms

---

# 15
The following is a DFT calculation (PBE) of crystalline SbIrAu2 at its relaxed geometry.

Unit cell a=4.8989 b=4.8989 c=3.3643 alpha=90.00 beta=90.00 gamma=111.88
Element x y z (fractional)
Sb 0.0000 0.0000 0.0000
Ir 0.5000 0.5000 0.0000
Au 0.0000 0.5000 0.5000
Au 0.5000 0.0000 0.5000

Results
volume = 18.73 A^3/atom
total magnetic moment = 0.0 μB/f.u.
formation energy from raw total energies = 30 kJ/mol of atoms

---

# 16
The following is a DFT calculation (PBE) of crystalline SbIrAu2 at its relaxed geometry.

Unit cell a=5.3426 b=5.3426 c=5.3426 alpha=137.33 beta=132.60 gamma=65.66
Element x y z (fractional)
Sb 0.0000 0.0000 0.0000
Ir 0.8004 0.3004 0.5000
Au 0.2660 0.7660 0.5000
Au 0.5451 0.5451 0.0000

Results
volume = 18.74 A^3/atom
total magnetic moment = 0.0 μB/f.u.
formation energy from raw total energies = 21 kJ/mol of atoms

---

# 17
The following is a DFT calculation (PBE) of crystalline Sb2Ir2Au at its relaxed geometry.

Unit cell a=7.3792 b=7.3792 c=3.4999 alpha=90.00 beta=90.00 gamma=90.00
Element x y z (fractional)
Sb 0.1586 0.3414 0.0000
Sb 0.3414 0.8414 0.0000
Sb 0.6586 0.1586 0.0000
Sb 0.8414 0.6586 0.0000
Ir 0.1399 0.6399 0.5000
Ir 0.3601 0.1399 0.5000
Ir 0.6399 0.8601 0.5000
Ir 0.8601 0.3601 0.5000
Au 0.0000 0.0000 0.5000
Au 0.5000 0.5000 0.5000

Results
excess energy over the best structure of this formula in the dataset = 0 meV per atom
volume = 19.06 A^3/atom
total magnetic moment = 0.0 μB/f.u.
formation energy from raw total energies = 10 kJ/mol of atoms

---

# 18
The following is a DFT calculation (PBE) of crystalline SiSbIrAu2 at its relaxed geometry.

Unit cell a=4.7755 b=4.7755 c=4.5583 alpha=90.00 beta=90.00 gamma=90.00
Element x y z (fractional)
Si 0.0000 0.0000 0.0000
Sb 0.5000 0.5000 0.5000
Ir 0.0000 0.0000 0.5000
Au 0.0000 0.5000 0.0000
Au 0.5000 0.0000 0.0000

Results
volume = 20.79 A^3/atom
total magnetic moment = 0.0 μB/f.u.
formation energy from raw total energies = 43 kJ/mol of atoms

---

# 19
The following is a DFT calculation (PBE) of crystalline TaSbIr2Au at its relaxed geometry.

Unit cell a=4.7984 b=4.7984 c=5.2584 alpha=90.00 beta=90.00 gamma=90.00
Element x y z (fractional)
Ta 0.0000 0.0000 0.0000
Sb 0.0000 0.0000 0.5000
Ir 0.0000 0.5000 0.0000
Ir 0.5000 0.0000 0.0000
Au 0.5000 0.5000 0.5000

Results
volume = 24.21 A^3/atom
total magnetic moment = 0.0 μB/f.u.
formation energy from raw total energies = 128 kJ/mol of atoms

---

# 20
The following is a DFT calculation (PBE) of crystalline TcSb2IrAu at its relaxed geometry.

Unit cell a=5.0736 b=5.0736 c=4.7599 alpha=90.00 beta=90.00 gamma=90.00
Element x y z (fractional)
Tc 0.0000 0.0000 0.0000
Sb 0.0000 0.5000 0.0000
Sb 0.5000 0.0000 0.0000
Ir 0.0000 0.0000 0.5000
Au 0.5000 0.5000 0.5000

Results
volume = 24.51 A^3/atom
total magnetic moment = 0.0 μB/f.u.
formation energy from raw total energies = 91 kJ/mol of atoms

---

# 21
The following is a DFT calculation (PBE) of crystalline ScIrAu2 at its relaxed geometry.

Unit cell a=9.0891 b=9.0891 c=9.0891 alpha=19.40 beta=19.40 gamma=19.40
Element x y z (fractional)
Sc 0.0000 0.0000 0.0000
Ir 0.2618 0.2618 0.2618
Au 0.5075 0.5075 0.5075
Au 0.7520 0.7520 0.7520

Results
volume = 18.11 A^3/atom
total magnetic moment = 0.0 μB/f.u.
formation energy from the elements = -4.6 kcal/mol of atoms

---

# 22
The following is a DFT calculation (PBE) of crystalline ScIrAu at its relaxed geometry.

Unit cell a=4.3990 b=4.3990 c=4.3990 alpha=60.00 beta=60.00 gamma=60.00
Element x y z (fractional)
Sc 0.0000 0.0000 0.0000
Ir 0.2500 0.2500 0.2500
Au 0.7500 0.7500 0.7500

Results
excess energy over the best structure of this formula in the dataset = 365 meV per atom
volume = 20.06 A^3/atom
total magnetic moment = 0.0 μB/f.u.
formation energy from the elements = -3.9 kcal/mol of atoms

---

# 23
The following is a DFT calculation (PBE) of crystalline Sc5Ir2Au2 at its relaxed geometry.

Unit cell a=8.1496 b=8.1496 c=7.0968 alpha=90.00 beta=90.00 gamma=50.36
Element x y z (fractional)
Sc 0.0000 0.0000 0.0000
Sc 0.0449 0.6967 0.6734
Sc 0.1967 0.5449 0.1734
Sc 0.3033 0.9551 0.6734
Sc 0.4551 0.8033 0.1734
Sc 0.5000 0.5000 0.5000
Sc 0.5449 0.1967 0.8266
Sc 0.6967 0.0449 0.3266
Sc 0.8033 0.4551 0.8266
Sc 0.9551 0.3033 0.3266
Ir 0.1330 0.8670 0.3642
Ir 0.3670 0.6330 0.8642
Ir 0.6330 0.3670 0.1358
Ir 0.8670 0.1330 0.6358
Au 0.2119 0.2119 0.0000
Au 0.2881 0.2881 0.5000
Au 0.7119 0.7119 0.5000
Au 0.7881 0.7881 0.0000

Results
volume = 20.16 A^3/atom
total magnetic moment = 0.0 μB/f.u.
formation energy from the elements = -18.6 kcal/mol of atoms

---

# 24
The following is a DFT calculation (PBE) of crystalline ScIrAu2 at its relaxed geometry.

Unit cell a=4.6337 b=4.6337 c=4.6337 alpha=60.00 beta=60.00 gamma=60.00
Element x y z (fractional)
Sc 0.0000 0.0000 0.0000
Ir 0.2500 0.2500 0.2500
Au 0.5000 0.5000 0.5000
Au 0.7500 0.7500 0.7500

Results
volume = 17.59 A^3/atom
total magnetic moment = 0.0 μB/f.u.
formation energy from the elements = -8.3 kcal/mol of atoms

---

# 25
The following is a DFT calculation (PBE) of crystalline ScIrAu at its relaxed geometry.

Unit cell a=4.5111 b=4.5111 c=2.9640 alpha=90.00 beta=90.00 gamma=120.00
Element x y z (fractional)
Sc 0.0000 0.0000 0.0000
Ir 0.3333 0.6667 0.7219
Au 0.6667 0.3333 0.3292

Results
excess energy over the best structure of this formula in the dataset = 136 meV per atom
volume = 17.41 A^3/atom
total magnetic moment = 0.0 μB/f.u.
formation energy from the elements = -9.2 kcal/mol of atoms

---

# 26
The following is a DFT calculation (PBE) of crystalline Sc6IrAu5 at its relaxed geometry.

Unit cell a=4.7558 b=6.7998 c=7.5225 alpha=90.00 beta=108.07 gamma=90.00
Element x y z (fractional)
Sc 0.0000 0.2387 0.0000
Sc 0.0000 0.7613 0.0000
Sc 0.3393 0.2449 0.6765
Sc 0.3393 0.7551 0.6765
Sc 0.6607 0.2449 0.3235
Sc 0.6607 0.7551 0.3235
Ir 0.5000 0.0000 0.0000
Au 0.1648 0.5000 0.3322
Au 0.1676 0.0000 0.3381
Au 0.5000 0.5000 0.0000
Au 0.8324 0.0000 0.6619
Au 0.8352 0.5000 0.6678

Results
volume = 19.27 A^3/atom
total magnetic moment = 0.0 μB/f.u.
formation energy from the elements = -19.2 kcal/mol of atoms

---

# 27
The following is a DFT calculation (PBE) of crystalline ScIrAu2 at its relaxed geometry.

Unit cell a=9.4404 b=9.4404 c=9.4404 alpha=18.05 beta=18.05 gamma=18.05
Element x y z (fractional)
Sc 0.0000 0.0000 0.0000
Ir 0.5000 0.5000 0.5000
Au 0.2502 0.2502 0.2502
Au 0.7498 0.7498 0.7498

Results
volume = 17.64 A^3/atom
total magnetic moment = 0.7 μB/f.u.
formation energy from the elements = 1.9 kcal/mol of atoms

---

# 28
The following is a DFT calculation (PBE) of crystalline ScIrAu2 at its relaxed geometry.

Unit cell a=4.6383 b=4.6383 c=4.6383 alpha=60.00 beta=60.00 gamma=60.00
Element x y z (fractional)
Sc 0.0000 0.0000 0.0000
Ir 0.5000 0.5000 0.5000
Au 0.2500 0.2500 0.2500
Au 0.7500 0.7500 0.7500

Results
volume = 17.64 A^3/atom
total magnetic moment = 0.0 μB/f.u.
formation energy from the elements = -7.6 kcal/mol of atoms

---

# 29
The following is a DFT calculation (PBE) of crystalline ScIrAu2 at its relaxed geometry.

Unit cell a=3.2206 b=3.7340 c=5.8446 alpha=90.00 beta=90.00 gamma=90.00
Element x y z (fractional)
Sc 0.0000 0.0000 0.0000
Ir 0.5000 0.5000 0.7809
Au 0.0000 0.0000 0.5195
Au 0.5000 0.5000 0.2717

Results
volume = 17.57 A^3/atom
total magnetic moment = 0.0 μB/f.u.
formation energy from the elements = -10.8 kcal/mol of atoms